LiSn2Ir, relaxed, DFT PBE-GGA; energy of formation = -0.2287 eV per atom; calculated total energy = -39.4 eV for the cell shown
1.0
5.183 0.000 0.000
0.000 4.432 0.000
0.000 0.000 6.874
Li Sn Ir
2 4 2
Cartesian
0.000 0.000 0.000 Li
2.592 0.000 0.000 Li
1.296 0.000 2.605 Sn
1.296 2.216 5.131 Sn
3.887 0.000 4.268 Sn
3.887 2.216 1.743 Sn
1.296 2.216 0.950 Ir
3.887 2.216 5.924 Ir

AsHF4, relaxed, DFT PBE-GGA; calculated total energy = -108.9 eV for the cell shown; energy above the most stable polymorph in this dataset = 0.000 eV per atom
1.0
4.556 0.000 0.000
0.000 11.222 0.000
-0.689 0.000 7.696
As H F
4 4 16
Cartesian
0.760 1.661 2.197 As
0.415 3.950 6.045 As
3.451 7.272 1.651 As
3.106 9.561 5.499 As
-0.318 0.942 6.537 H
0.027 4.669 2.690 H
3.839 6.553 5.006 H
4.184 10.280 1.158 H
0.358 5.747 5.696 F
0.703 11.086 1.848 F
0.304 1.504 7.041 F
0.648 4.107 3.193 F
0.718 1.385 3.938 F
1.063 4.226 0.091 F
1.672 7.323 1.730 F
1.328 9.510 5.578 F
2.539 1.712 2.118 F
2.194 3.899 5.966 F
2.803 6.996 7.605 F
3.148 9.837 3.757 F
3.218 7.115 4.503 F
3.563 9.718 0.655 F
3.164 0.136 5.847 F
3.508 5.475 1.999 F

K2PtBrO, relaxed, DFT PBE-GGA; E_form (uncorrected) = -1100 meV per atom; calculated total energy = -20.4 eV for the cell shown
1.0
5.846 0.000 0.000
0.000 5.846 0.000
0.000 0.000 3.825
K Pt Br O
2 1 1 1
Cartesian
0.000 2.923 0.000 K
2.923 0.000 0.000 K
0.000 0.000 1.912 Pt
2.923 2.923 1.912 Br
0.000 0.000 0.000 O

Ti3CdN, relaxed, DFT PBE-GGA; E_form (uncorrected) = -478 meV per atom; calculated total energy = -70.6 eV for the cell shown
1.0
7.079 -1.584 0.000
7.079 1.584 0.000
-1.366 0.000 7.347
Ti Cd N
6 2 2
Cartesian
0.184 0.000 1.471 Ti
3.204 0.000 4.821 Ti
5.182 0.000 2.835 Ti
7.610 0.000 4.512 Ti
9.588 0.000 2.526 Ti
12.608 0.000 5.877 Ti
1.013 0.000 7.060 Cd
11.779 0.000 0.287 Cd
5.402 0.000 4.759 N
7.390 0.000 2.589 N

La2ScAlS6, relaxed, DFT PBE-GGA; E_form (uncorrected) = -1851 meV per atom; calculated total energy = -126.4 eV for the cell shown
1.0
6.529 0.000 0.000
0.000 7.071 0.000
-6.456 0.000 9.455
La Sc Al S
4 2 2 12
Cartesian
-0.187 0.660 2.339 La
-3.415 2.875 7.066 La
3.487 4.196 2.388 La
0.259 6.411 7.115 La
3.264 0.000 0.000 Sc
0.036 3.536 4.727 Sc
-3.228 0.000 4.727 Al
0.000 3.536 0.000 Al
-5.282 1.391 8.956 S
-2.054 2.144 4.229 S
-4.457 4.830 8.965 S
-1.229 5.777 4.237 S
-2.517 0.146 7.011 S
0.711 3.389 2.283 S
-0.639 3.682 7.171 S
2.589 6.925 2.444 S
1.301 1.294 5.217 S
4.529 2.241 0.490 S
2.126 4.927 5.226 S
5.354 5.680 0.499 S

Cd2Ge2Pd7, relaxed, DFT PBE-GGA; energy of formation = -0.2593 eV per atom; calculated total energy = -50.3 eV for the cell shown
1.0
3.883 -4.528 0.000
3.883 4.528 0.000
0.000 0.000 5.730
Cd Ge Pd
2 2 7
Cartesian
1.414 0.000 0.000 Cd
6.352 0.000 0.000 Cd
3.883 1.991 2.865 Ge
3.883 -1.991 2.865 Ge
0.000 0.000 2.865 Pd
1.942 2.264 1.415 Pd
1.942 2.264 4.315 Pd
1.942 -2.264 1.415 Pd
1.942 -2.264 4.315 Pd
3.883 0.000 1.381 Pd
3.883 0.000 4.349 Pd

La3TbN4, relaxed, DFT PBE-GGA; E_form (uncorrected) = -1378 meV per atom; calculated total energy = -127.5 eV for the cell shown; energy above the most stable polymorph in this dataset = 0.000 eV per atom
1.0
6.386 0.000 0.000
0.000 7.400 0.000
-2.110 0.000 6.027
La Tb N
6 2 8
Cartesian
-0.528 0.908 1.507 La
-1.583 2.730 4.520 La
-0.528 4.670 1.507 La
-1.583 6.492 4.520 La
2.666 2.729 1.507 La
1.610 4.671 4.520 La
1.610 0.944 4.520 Tb
2.666 6.457 1.507 Tb
0.548 2.625 3.073 N
1.603 4.775 0.060 N
-0.443 0.963 5.999 N
0.612 6.437 2.986 N
3.664 0.963 3.041 N
4.719 6.437 0.027 N
2.673 2.625 5.967 N
3.728 4.775 2.954 N

La2CoSnGe, relaxed, DFT PBE-GGA; energy of formation = -0.5501 eV per atom; calculated total energy = -28.3 eV for the cell shown
1.0
5.340 0.000 0.000
0.000 5.340 0.000
0.000 0.000 4.551
La Co Sn Ge
2 1 1 1
Cartesian
0.000 2.670 0.000 La
2.670 0.000 0.000 La
0.000 0.000 0.000 Co
2.670 2.670 2.275 Sn
0.000 0.000 2.275 Ge

Ho6InPd, relaxed, DFT PBE-GGA; energy of formation = -0.0782 eV per atom; calculated total energy = -72.0 eV for the cell shown
1.0
6.863 0.000 0.000
0.000 11.645 0.000
-2.974 0.000 6.063
Ho In Pd
12 2 2
Cartesian
0.798 2.364 1.484 Ho
0.798 9.281 1.484 Ho
-0.719 0.000 4.685 Ho
1.177 5.822 1.378 Ho
-0.340 3.459 4.579 Ho
-0.340 8.186 4.579 Ho
4.230 3.459 1.484 Ho
4.230 8.186 1.484 Ho
2.713 5.822 4.685 Ho
4.608 0.000 1.378 Ho
3.092 2.364 4.579 Ho
3.092 9.281 4.579 Ho
-1.487 5.822 3.031 In
1.945 0.000 3.031 In
0.000 0.000 0.000 Pd
3.432 5.822 0.000 Pd

Sm4ErCu5, relaxed, DFT PBE-GGA; energy of formation = -0.2001 eV per atom; calculated total energy = -45.9 eV for the cell shown
1.0
3.507 0.000 0.000
0.000 3.507 0.000
0.000 0.000 17.786
Sm Er Cu
4 1 5
Cartesian
0.000 0.000 1.797 Sm
0.000 0.000 5.401 Sm
0.000 0.000 12.385 Sm
0.000 0.000 15.989 Sm
0.000 0.000 8.893 Er
1.753 1.753 0.000 Cu
1.753 1.753 3.601 Cu
1.753 1.753 7.252 Cu
1.753 1.753 10.534 Cu
1.753 1.753 14.186 Cu

Ba3LaTh2Bi6, relaxed, DFT PBE-GGA; energy of formation = -0.8273 eV per atom; calculated total energy = -58.7 eV for the cell shown
1.0
4.153 -7.200 0.000
4.153 7.200 0.000
-2.773 0.000 8.137
Ba La Th Bi
3 1 2 6
Cartesian
0.000 0.000 0.000 Ba
4.153 2.374 0.000 Ba
4.153 -2.374 0.000 Ba
2.767 0.000 4.068 La
2.767 4.795 4.068 Th
2.767 -4.795 4.068 Th
1.357 2.443 2.276 Bi
-0.055 0.000 5.852 Bi
1.357 -2.443 2.276 Bi
4.176 2.443 5.861 Bi
5.588 0.000 2.284 Bi
4.176 -2.443 5.861 Bi

Zn4NiRh, relaxed, DFT PBE-GGA; energy of formation = -0.1321 eV per atom; calculated total energy = -38.0 eV for the cell shown; energy above the most stable polymorph in this dataset = 0.111 eV per atom
1.0
5.164 0.000 0.000
0.000 7.032 0.000
-2.309 0.000 4.724
Zn Ni Rh
8 2 2
Cartesian
0.686 1.314 1.213 Zn
0.686 5.718 1.213 Zn
-0.413 2.202 3.511 Zn
-0.413 4.829 3.511 Zn
3.268 2.202 1.213 Zn
3.268 4.829 1.213 Zn
2.169 1.314 3.511 Zn
2.169 5.718 3.511 Zn
-1.155 0.000 2.362 Ni
1.427 3.516 2.362 Ni
0.000 3.516 0.000 Rh
2.582 0.000 0.000 Rh